Below is an optimized crystal structure of Tm2ZnHPd6, with properties calculated at the PBE-GGA level.

Geometry as POSCAR:
```
Tm2ZnHPd6
1.0
-4.9324 -2.4997 1.1058
2.7931 -3.0974 5.3582
-1.6979 0.1075 6.5120
Tm Zn H Pd
2 1 1 6
Direct
0.7419 0.2608 0.5566
0.2581 0.7392 0.4434
0.0000 0.0000 0.0000
0.5000 0.5000 0.0000
0.2936 0.2069 0.4663
0.7959 0.7083 0.9627
0.2809 0.7222 0.9993
0.7191 0.2778 0.0007
0.2041 0.2917 0.0373
0.7064 0.7931 0.5337
```

Values from the calculation:
Space group   P-1, No. 2
ρ   10.49 g cm⁻³
Calculated total energy   -5.1461 eV per atom

***

Below is an optimized crystal structure of U2HPd9, with properties calculated at the PBE-GGA level.

Geometry as POSCAR:
```
U2HPd9
1.0
-3.1723 -0.5231 3.8480
1.8638 -3.1067 3.4668
3.6166 6.4796 3.8623
U H Pd
2 1 9
Direct
0.0000 0.0000 0.2872
0.0000 0.0000 0.7128
0.0000 0.0000 0.0000
0.5000 0.5000 0.0000
0.5000 0.5000 0.3332
0.5000 0.5000 0.6668
0.5000 0.0000 0.1583
0.5000 0.0000 0.5000
0.5000 0.0000 0.8417
0.0000 0.5000 0.1583
0.0000 0.5000 0.5000
0.0000 0.5000 0.8417
```

Values from the calculation:
Space group   Cmmm, No. 65
ρ   12.14 g cm⁻³
Calculated total energy   -6.2908 eV per atom

***

Below is an optimized crystal structure of UHPd, with properties calculated at the PBE-GGA level.

Geometry as POSCAR:
```
UHPd
1.0
2.8697 0.0059 -0.0480
-0.0129 3.5646 -0.3990
-1.2955 -2.6989 8.1872
H U Pd
2 2 2
Direct
0.3175 0.8860 0.1359
0.6825 0.1140 0.8641
0.0576 0.8650 0.6150
0.9424 0.1350 0.3850
0.6913 0.6327 0.8827
0.3087 0.3673 0.1173
```

Values from the calculation:
Space group   P2_1/m, No. 11
ρ   14.26 g cm⁻³
Calculated total energy   -6.7266 eV per atom

***

Below is an optimized crystal structure of UHPd2, with properties calculated at the PBE-GGA level.

Geometry as POSCAR:
```
UHPd2
1.0
2.9962 0.0000 0.0000
0.0000 2.9962 0.0000
0.0000 0.0000 6.6173
H U Pd
1 1 2
Direct
0.5000 0.5000 0.5000
0.5000 0.5000 0.0000
0.0000 0.0000 0.6985
0.0000 0.0000 0.3015
```

Values from the calculation:
Space group   P4/mmm, No. 123
ρ   12.63 g cm⁻³
Offset from the most stable computed form   40 meV/atom

***

Below is an optimized crystal structure of UH6Pd7, with properties calculated at the PBE-GGA level.

Geometry as POSCAR:
```
UH6Pd7
1.0
-2.9014 3.6586 2.1281
1.1702 1.8202 4.6529
3.5648 6.8630 -0.7518
U H Pd
1 6 7
Direct
0.9979 0.9979 0.0062
0.7285 0.0911 0.7641
0.5729 0.2563 0.2491
0.9217 0.5729 0.2491
0.0911 0.4163 0.7641
0.4163 0.7285 0.7641
0.2563 0.9217 0.2491
0.8902 0.2224 0.3368
0.4442 0.1038 0.6762
0.7758 0.4442 0.6762
0.6638 0.6638 0.0085
0.2224 0.5505 0.3368
0.5505 0.8902 0.3368
0.1038 0.7758 0.6762
```

Values from the calculation:
Space group   R3, No. 146
ρ   10.03 g cm⁻³
Calculated total energy   -4.9572 eV per atom

***

Below is an optimized crystal structure of UH2Pd, with properties calculated at the PBE-GGA level.

Geometry as POSCAR:
```
UH2Pd
1.0
-2.5138 -1.3519 0.9665
-0.0559 -2.9901 0.3701
1.0088 -0.7633 6.2543
H U Pd
2 1 1
Direct
0.0920 0.0920 0.7239
0.9080 0.9080 0.2761
0.5000 0.5000 0.5000
0.0000 0.0000 0.0000
```

Values from the calculation:
Space group   R-3m, No. 166
ρ   11.92 g cm⁻³
Calculated total energy   -5.8546 eV per atom